[1]
# Hf2AlCdCo2Ir2, optimized geometry, DFT PBE
data_Hf2AlCdCo2Ir2
_space_group_name_H-M_alt 'P -4 m 2'
_space_group_IT_number 115
_space_group_name_Hall 'P -4 -2'
_cell_length_a 4.4235
_cell_length_b 4.4235
_cell_length_c 6.3199
_cell_angle_alpha 90.00
_cell_angle_beta 90.00
_cell_angle_gamma 90.00
loop_
_atom_site_label
_atom_site_fract_x
_atom_site_fract_y
_atom_site_fract_z
_atom_site_occupancy
Hf1 0.0000 0.0000 0.0000 1
Hf2 0.5000 0.5000 0.5000 1
Al1 0.0000 0.0000 0.5000 1
Cd1 0.5000 0.5000 0.0000 1
Co1 0.0000 0.5000 0.2620 1
Ir1 0.0000 0.5000 0.7346 1
# Total energy   -7.63 eV/atom

=====

[2]
# LiAlCdCo, optimized geometry, DFT PBE
data_LiAlCdCo
_space_group_name_H-M_alt 'F -4 3 m'
_space_group_IT_number 216
_space_group_name_Hall 'F -4 2 3'
_cell_length_a 6.0989
_cell_length_b 6.0989
_cell_length_c 6.0989
_cell_angle_alpha 90.00
_cell_angle_beta 90.00
_cell_angle_gamma 90.00
loop_
_atom_site_label
_atom_site_fract_x
_atom_site_fract_y
_atom_site_fract_z
_atom_site_occupancy
Li1 0.0000 0.0000 0.0000 1
Al1 0.0000 0.0000 0.5000 1
Cd1 0.2500 0.2500 0.2500 1
Co1 0.2500 0.2500 0.7500 1
# Total energy   -3.43 eV/atom

=====

[3]
# LiAlCdCo, optimized geometry, DFT PBE
data_LiAlCdCo
_space_group_name_H-M_alt 'F -4 3 m'
_space_group_IT_number 216
_space_group_name_Hall 'F -4 2 3'
_cell_length_a 6.0790
_cell_length_b 6.0790
_cell_length_c 6.0790
_cell_angle_alpha 90.00
_cell_angle_beta 90.00
_cell_angle_gamma 90.00
loop_
_atom_site_label
_atom_site_fract_x
_atom_site_fract_y
_atom_site_fract_z
_atom_site_occupancy
Li1 0.0000 0.0000 0.0000 1
Al1 0.2500 0.2500 0.2500 1
Cd1 0.2500 0.2500 0.7500 1
Co1 0.0000 0.0000 0.5000 1
# Total energy   -3.51 eV/atom